1.
Material: SrLa2OsO8
Method: DFT, PBE-GGA
State: optimized geometry

Cell: 5.286 5.286 7.244 Å, 90.04 90.04 89.99°
Positions (direct):
Sr 0.000 0.000 0.000
La 0.499 0.499 0.753
La 0.501 0.501 0.247
Os 0.000 0.000 0.500
O 0.174 0.824 0.314
O 0.176 0.826 0.686
O 0.251 0.251 0.499
O 0.319 0.319 0.000
O 0.681 0.681 0.000
O 0.749 0.749 0.501
O 0.824 0.174 0.314
O 0.826 0.176 0.686

The uncorrected formation energy comes out at -220 kJ/mol of atoms.


2.
Material: Np3Tl4ZnS8
Method: DFT, PBE-GGA
State: optimized geometry

Cell: 8.796 8.796 8.796 Å, 53.97 53.97 53.97°
Positions (direct):
Np 0.000 0.500 0.500
Np 0.500 0.000 0.500
Np 0.500 0.500 0.000
Tl 0.000 0.000 0.500
Tl 0.000 0.500 0.000
Tl 0.500 0.000 0.000
Tl 0.500 0.500 0.500
Zn 0.000 0.000 0.000
S 0.226 0.226 0.738
S 0.226 0.738 0.226
S 0.262 0.774 0.774
S 0.268 0.268 0.268
S 0.732 0.732 0.732
S 0.738 0.226 0.226
S 0.774 0.262 0.774
S 0.774 0.774 0.262

The uncorrected formation energy comes out at -85 kJ/mol of atoms. The calculation puts the density of states at the Fermi level at 28.9 states/eV/cell.


3.
Material: CeDy7Ho2
Method: DFT, PBE-GGA
State: optimized geometry

Cell: 9.338 9.338 5.442 Å, 90.00 90.00 124.52°
Positions (direct):
Ce 0.000 0.000 0.000
Dy 0.065 0.289 0.500
Dy 0.206 0.794 0.000
Dy 0.289 0.065 0.500
Dy 0.500 0.500 0.500
Dy 0.711 0.935 0.500
Dy 0.794 0.206 0.000
Dy 0.935 0.711 0.500
Ho 0.297 0.703 0.500
Ho 0.703 0.297 0.500

For the distance to the lowest polymorph of the same formula, the calculation gives 0.693 eV per atom. The calculation puts the density of states at the Fermi level at 19.3 states/eV/cell.


4.
Material: KLi2Tl
Method: DFT, PBE-GGA
State: optimized geometry

Cell: 10.826 10.826 10.826 Å, 152.52 152.52 39.26°
Positions (direct):
K 0.000 0.000 0.000
K 0.750 0.250 0.500
Li 0.273 0.625 0.148
Li 0.375 0.523 0.648
Li 0.477 0.125 0.852
Li 0.875 0.727 0.352
Tl 0.250 0.750 0.500
Tl 0.500 0.500 0.000

For the distance to the lowest polymorph of the same formula, the calculation gives 0.141 eV per atom. The calculation puts the density of states at the Fermi level at 4.2 states/eV/cell.


5.
Material: PmNd6Dy2Tm
Method: DFT, PBE-GGA
State: optimized geometry

Cell: 8.971 8.971 9.663 Å, 93.66 93.66 117.55°
Positions (direct):
Pm 0.027 0.973 0.750
Pm 0.973 0.027 0.250
Nd 0.008 0.564 0.688
Nd 0.118 0.760 0.055
Nd 0.240 0.882 0.445
Nd 0.292 0.511 0.883
Nd 0.436 0.992 0.812
Nd 0.489 0.708 0.617
Nd 0.511 0.292 0.383
Nd 0.564 0.008 0.188
Nd 0.708 0.489 0.117
Nd 0.760 0.118 0.555
Nd 0.882 0.240 0.945
Nd 0.992 0.436 0.312
Dy 0.203 0.301 0.547
Dy 0.301 0.203 0.047
Dy 0.699 0.797 0.953
Dy 0.797 0.699 0.453
Tm 0.412 0.588 0.250
Tm 0.588 0.412 0.750

The calculation puts the total energy at -45.9 eV per formula unit. The calculation puts the density of states at the Fermi level at 28.3 states/eV/cell.


6.
Material: Mg2Bi2Te
Method: DFT, PBE-GGA
State: optimized geometry

Cell: 8.099 8.099 8.099 Å, 147.70 147.70 46.33°
Positions (direct):
Mg 0.250 0.750 0.500
Mg 0.750 0.250 0.500
Bi 0.109 0.109 0.000
Bi 0.891 0.891 0.000
Te 0.500 0.500 0.000

For the distance to the lowest polymorph of the same formula, the calculation gives 0.149 eV per atom. The uncorrected formation energy comes out at 10 kJ/mol of atoms. The calculation puts the density of states at the Fermi level at 3.3 states/eV/cell.


Q: What is the formula in the fourth record?
A: KLi2Tl